(1)
## LiBeOs2 (PBE-GGA)

Data for a relaxed LiBeOs2 crystal.

Formation enthalpy at 0 K: 0.17 eV/atom
Total magnetic moment: 0.0 μB per cell
SG: Pm, No. 6

Cell and atoms, written as extended XYZ:
```
4
Lattice="-2.796 -2.574 -0.884 1.210 -0.513 -2.332 3.077 -3.640 0.867" Properties=species:S:1:pos:R:3 pbc="T T T"
Os 4.211 -4.121 -1.318
Os -0.240 -2.371 -0.947
Be 2.406 -2.221 -1.143
Li 1.545 -4.245 -1.138
```

---

(2)
## LiBe2Os (PBE-GGA)

Data for a relaxed LiBe2Os crystal.

Formation enthalpy at 0 K: -0.06 eV/atom
Total magnetic moment: 0.0 μB per cell
SG: P4/mmm, No. 123

Cell and atoms, written as extended XYZ:
```
4
Lattice="2.928 0.000 0.000 0.000 2.930 0.000 0.000 0.000 5.494" Properties=species:S:1:pos:R:3 pbc="T T T"
Be 0.000 0.000 5.198
Be 0.000 0.000 3.044
Os 1.464 1.465 4.121
Li 1.464 1.465 1.374
```

---

(3)
## LiBe2Os2 (PBE-GGA)

Data for a relaxed LiBe2Os2 crystal.

Energy relative to the lowest polymorph listed for this composition: 0.4726 eV/atom
Formation enthalpy at 0 K: 0.38 eV/atom
Total magnetic moment: 0.0 μB per cell
SG: I4/mmm, No. 139

Cell and atoms, written as extended XYZ:
```
5
Lattice="-1.161 2.935 1.938 -2.996 0.244 -2.164 -4.580 -1.459 3.006" Properties=species:S:1:pos:R:3 pbc="T T T"
Be -2.635 0.912 0.581
Be -6.102 0.809 2.199
Li 0.000 0.000 0.000
Os -4.827 0.187 0.364
Os -3.910 1.533 2.416
```

---

(4)
## LiBeOs2 (PBE-GGA)

Data for a relaxed LiBeOs2 crystal.

Formation enthalpy at 0 K: 0.20 eV/atom
Total magnetic moment: 0.0 μB per cell
SG: P2/m, No. 10

Cell and atoms, written as extended XYZ:
```
4
Lattice="4.091 0.000 0.000 0.000 2.625 0.008 0.000 0.427 4.705" Properties=species:S:1:pos:R:3 pbc="T T T"
Li 2.046 2.289 3.535
Os 0.000 0.060 0.025
Os 0.000 1.466 2.332
Be 2.046 0.763 1.178
```

---

no.,DOS(E_F) (states/eV per cell)
1,2.11
2,2.36
3,4.91
4,2.56